A relaxed In2CuPdPt5 crystal, computed with PBE.

Summary:
**Magnetic moment**: 0.0 μB per formula unit
**Volume**: 334 Å³ per cell
**Space-group type**: I4/mcm, No. 140
**Total energy**: -4.74 eV/atom
**E_form**: 255 meV/atom

Cell: 7.9228 7.9228 7.7210 Å, 120.87 120.87 90.00°
With the nearest neighbours (Å) after each atom.
Element x y z (fractional)
Pt (0.9365, 0.4365, 0.2703)  1 In 2.52, 1 Pd 2.54, 1 Pt 2.70
Cu (0.7500, 0.7500, 0.5000)  2 Pt 2.66
In (0.1161, 0.3839, 0.0000)  2 Pt 2.52, 1 In 2.60
Pd (0.2500, 0.7500, 0.5000)  4 Pt 2.54
Pd (0.7500, 0.2500, 0.5000)  4 Pt 2.54
Pt (0.5635, 0.6661, 0.7297)  1 In 2.52, 1 Pd 2.54, 1 Pt 2.70
Pt (0.0000, 0.0000, 0.0000)  2 Cu 2.66
Pt (0.4365, 0.3339, 0.2703)  1 In 2.52, 1 Pd 2.54, 1 Pt 2.70
In (0.6161, 0.1161, 0.0000)  2 Pt 2.52, 1 In 2.60
In (0.3839, 0.8839, 0.0000)  2 Pt 2.52, 1 In 2.60
Pt (0.6661, 0.1661, 0.7297)  1 In 2.52, 1 Pd 2.54, 1 Pt 2.70
Pt (0.0635, 0.5635, 0.7297)  1 In 2.52, 1 Pd 2.54, 1 Pt 2.70
Pt (0.3339, 0.8339, 0.2703)  1 In 2.52, 1 Pd 2.54, 1 Pt 2.70
Pt (0.1661, 0.0635, 0.7297)  1 In 2.52, 1 Pd 2.54, 1 Pt 2.70
Pt (0.8339, 0.9365, 0.2703)  1 In 2.52, 1 Pd 2.54, 1 Pt 2.70
In (0.8839, 0.6161, 0.0000)  2 Pt 2.52, 1 In 2.60
Pt (0.5000, 0.5000, 0.0000)  2 Cu 2.66
Cu (0.2500, 0.2500, 0.5000)  2 Pt 2.66